In2GaHg5: optimized geometry, PBE-GGA.

ΔE to the lowest computed polymorph (kcal/mol of atoms): 0.00

Lattice parameters (Å, degrees): 6.388 12.942 4.951 90.00 90.00 90.00
Element x y z (fractional)
In 0.197 0.142 0.000
In 0.303 0.642 0.000
In 0.697 0.358 0.000
In 0.803 0.858 0.000
Ga 0.000 0.500 0.500
Ga 0.500 0.000 0.500
Hg 0.000 0.000 0.500
Hg 0.034 0.738 0.500
Hg 0.205 0.397 0.000
Hg 0.295 0.897 0.000
Hg 0.466 0.238 0.500
Hg 0.500 0.500 0.500
Hg 0.534 0.762 0.500
Hg 0.705 0.103 0.000
Hg 0.795 0.603 0.000
Hg 0.966 0.262 0.500


InGa2Hg: optimized geometry, PBE-GGA.

ΔE to the lowest computed polymorph (kcal/mol of atoms): 0.32

Lattice parameters (Å, degrees): 4.605 7.094 6.279 90.00 107.10 90.00
Element x y z (fractional)
In 0.003 0.250 0.159
In 0.997 0.750 0.841
Ga 0.228 0.570 0.435
Ga 0.228 0.930 0.435
Ga 0.772 0.070 0.565
Ga 0.772 0.430 0.565
Hg 0.382 0.250 0.847
Hg 0.618 0.750 0.153


In7Ga3Hg2: optimized geometry, PBE-GGA.

Lattice parameters (Å, degrees): 7.727 4.571 9.781 90.00 108.97 90.00
Element x y z (fractional)
In 0.000 0.000 0.000
In 0.279 0.500 0.176
In 0.289 0.500 0.528
In 0.324 0.000 0.828
In 0.676 0.000 0.172
In 0.711 0.500 0.472
In 0.721 0.500 0.824
Ga 0.441 0.000 0.358
Ga 0.500 0.500 0.000
Ga 0.559 0.000 0.642
Hg 0.055 0.500 0.729
Hg 0.945 0.500 0.271


In8Ga3Hg2: optimized geometry, PBE-GGA.

Lattice parameters (Å, degrees): 9.428 9.428 5.063 92.19 92.19 48.20
Element x y z (fractional)
In 0.053 0.053 0.265
In 0.076 0.638 0.267
In 0.341 0.341 0.757
In 0.362 0.924 0.733
In 0.638 0.076 0.267
In 0.659 0.659 0.243
In 0.924 0.362 0.733
In 0.947 0.947 0.735
Ga 0.326 0.674 0.000
Ga 0.500 0.500 0.500
Ga 0.674 0.326 0.000
Hg 0.227 0.227 0.233
Hg 0.773 0.773 0.767


In8GaHg3: optimized geometry, PBE-GGA.

Lattice parameters (Å, degrees): 8.533 8.449 7.011 66.24 64.99 48.77
Element x y z (fractional)
In 0.001 0.491 0.999
In 0.239 0.750 0.761
In 0.244 0.756 0.244
In 0.486 0.997 0.003
In 0.491 0.001 0.509
In 0.750 0.239 0.250
In 0.756 0.244 0.756
In 0.997 0.486 0.514
Ga 0.121 0.121 0.879
Hg 0.371 0.371 0.129
Hg 0.620 0.620 0.380
Hg 0.871 0.871 0.629


In2Ga7Hg2: optimized geometry, PBE-GGA.

Lattice parameters (Å, degrees): 7.102 7.102 5.485 107.95 107.95 76.55
Element x y z (fractional)
In 0.185 0.815 0.000
In 0.815 0.185 0.000
Ga 0.000 0.000 0.500
Ga 0.098 0.583 0.389
Ga 0.417 0.902 0.611
Ga 0.459 0.459 0.720
Ga 0.541 0.541 0.280
Ga 0.583 0.098 0.389
Ga 0.902 0.417 0.611
Hg 0.258 0.258 0.989
Hg 0.742 0.742 0.011


In6GaHg12: optimized geometry, PBE-GGA.

ΔE to the lowest computed polymorph (kcal/mol of atoms): 0.00

Lattice parameters (Å, degrees): 8.739 8.739 8.739 110.27 110.27 110.27
Element x y z (fractional)
In 0.032 0.194 0.299
In 0.194 0.299 0.032
In 0.299 0.032 0.194
In 0.701 0.968 0.806
In 0.806 0.701 0.968
In 0.968 0.806 0.701
Ga 0.500 0.500 0.500
Hg 0.091 0.568 0.881
Hg 0.119 0.909 0.432
Hg 0.237 0.655 0.596
Hg 0.345 0.404 0.763
Hg 0.404 0.763 0.345
Hg 0.432 0.119 0.909
Hg 0.568 0.881 0.091
Hg 0.596 0.237 0.655
Hg 0.655 0.596 0.237
Hg 0.763 0.345 0.404
Hg 0.881 0.091 0.568
Hg 0.909 0.432 0.119


InGaHg3: optimized geometry, PBE-GGA.

ΔE to the lowest computed polymorph (kcal/mol of atoms): 6.50

Lattice parameters (Å, degrees): 5.601 5.601 5.601 90.00 90.00 90.00
Element x y z (fractional)
In 0.000 0.000 0.000
Ga 0.500 0.500 0.500
Hg 0.000 0.000 0.500
Hg 0.000 0.500 0.000
Hg 0.500 0.000 0.000


Number 1: final energy -19.68 eV per cell, formation enthalpy at 0 K 21.8 meV per atom. Number 2: final energy -17.65 eV per cell, formation enthalpy at 0 K 67.2 meV per atom. Number 3: final energy -28.04 eV per cell, formation enthalpy at 0 K 68.1 meV per atom. Number 4: final energy -30.92 eV per cell, formation enthalpy at 0 K 52.0 meV per atom. Number 5: final energy -25.51 eV per cell, formation enthalpy at 0 K 27.2 meV per atom. Number 6: final energy -26.56 eV per cell, formation enthalpy at 0 K 64.3 meV per atom. Number 7: final energy -22.78 eV per cell, formation enthalpy at 0 K 15.7 meV per atom. Number 8: final energy -5.09 eV per cell, formation enthalpy at 0 K 316.5 meV per atom.